Record 1
! NdBRu2C (PBE, relaxed); values from VASP
! Calculated formation energy: -0.22 eV/atom
! Magnetization: 0.0 μB per cell
! V: 141.89 Å³ per cell
! Space-group type: Cmcm
&SYSTEM
  ibrav = 0, nat = 10, ntyp = 4
/
ATOMIC_SPECIES
B 10.81 B.upf
Nd 144.24 Nd.upf
Ru 101.07 Ru.upf
C 12.01 C.upf
CELL_PARAMETERS angstrom
3.655 0.000 0.000
-1.827 5.404 0.000
0.000 0.000 7.184
ATOMIC_POSITIONS angstrom
B 1.827 2.388 5.388
Nd 0.000 4.849 5.388
B 0.000 3.016 1.796
Ru 1.827 3.555 3.107
Ru 0.000 1.849 4.077
Ru 1.827 3.555 0.485
C 0.000 0.000 0.000
Nd 1.827 0.556 1.796
Ru 0.000 1.849 6.699
C 0.000 0.000 3.592

Record 2
! YFeSb2 (PBE, relaxed); values from VASP
! Magnetization: 1.9 μB per cell
! V: 89.63 Å³ per cell
! Raw formation energy: -0.66 eV/f.u.
! Space-group type: Cmmm
&SYSTEM
  ibrav = 0, nat = 4, ntyp = 3
/
ATOMIC_SPECIES
Sb 121.76 Sb.upf
Fe 55.84 Fe.upf
Y 88.91 Y.upf
CELL_PARAMETERS angstrom
3.552 -0.043 0.000
-0.855 3.447 0.000
0.000 0.000 7.342
ATOMIC_POSITIONS angstrom
Sb 0.000 0.000 7.047
Sb 0.000 0.000 3.966
Fe 1.348 1.702 5.506
Y 1.348 1.702 1.835

Record 3
! CdAgTe (PBE, relaxed); values from VASP
! Magnetization: 0.0 μB per cell
! V: 76.91 Å³ per cell
! Raw formation energy: -0.04 eV/f.u.
! Space-group type: P3m1
&SYSTEM
  ibrav = 0, nat = 3, ntyp = 3
/
ATOMIC_SPECIES
Cd 112.41 Cd.upf
Te 127.60 Te.upf
Ag 107.87 Ag.upf
CELL_PARAMETERS angstrom
4.476 0.000 0.000
-2.238 3.876 0.000
0.000 0.000 4.434
ATOMIC_POSITIONS angstrom
Cd 2.238 1.292 1.373
Te 0.000 2.584 3.103
Ag 0.000 0.000 4.392

Record 4
! NbGaNi2Pd (PBE, relaxed); values from VASP
! Calculated formation energy: 0.86 eV/atom
! Magnetization: 1.6 μB per cell
! V: 87.97 Å³ per cell
! Space-group type: P4/mmm
&SYSTEM
  ibrav = 0, nat = 5, ntyp = 4
/
ATOMIC_SPECIES
Pd 106.42 Pd.upf
Ni 58.69 Ni.upf
Ga 69.72 Ga.upf
Nb 92.91 Nb.upf
CELL_PARAMETERS angstrom
-2.640 -2.663 -2.029
0.343 -3.136 3.669
-3.334 1.858 1.900
ATOMIC_POSITIONS angstrom
Pd -2.816 -1.970 1.770
Ni -1.320 -1.332 -1.015
Ga 0.000 0.000 0.000
Ni -1.667 0.929 0.950
Nb 0.172 -1.568 1.834

Record 5
! Nb3VMo (PBE, relaxed); values from VASP
! Calculated formation energy: 0.27 eV/atom
! Magnetization: 0.0 μB per cell
! V: 351.93 Å³ per cell
! Space-group type: P2_1/c
&SYSTEM
  ibrav = 0, nat = 20, ntyp = 3
/
ATOMIC_SPECIES
Mo 95.94 Mo.upf
V 50.94 V.upf
Nb 92.91 Nb.upf
CELL_PARAMETERS angstrom
-5.065 -2.519 -0.537
3.818 -7.499 -0.832
-1.402 1.221 7.497
ATOMIC_POSITIONS angstrom
Mo 0.494 -4.105 2.691
V -0.111 -8.066 3.953
V -3.032 -5.779 0.439
V 0.383 -3.018 5.689
Nb -0.476 -5.389 4.706
Nb -1.023 -6.654 1.863
Mo -3.144 -4.692 3.436
Mo -0.007 -8.790 -0.672
Nb -4.660 -2.806 5.919
Nb -2.173 -3.408 1.422
Nb 0.006 -1.409 1.553
Nb 2.011 -5.991 0.209
Nb -2.426 -5.040 6.433
Nb 1.827 -6.476 3.117
V -2.539 -0.732 2.175
Nb -4.477 -2.321 3.011
Nb -0.224 -3.757 -0.305
Nb -2.656 -7.388 4.575
Mo -2.643 -0.008 6.800
Nb -1.627 -2.143 4.265

Record 6
! Rb2Sm2TiS6 (PBE, relaxed); values from VASP
! Magnetization: 0.0 μB per cell
! V: 316.87 Å³ per cell
! Raw formation energy: -18.14 eV/f.u.
! Space-group type: C2/m
&SYSTEM
  ibrav = 0, nat = 11, ntyp = 4
/
ATOMIC_SPECIES
Ti 47.87 Ti.upf
Rb 85.47 Rb.upf
Sm 150.36 Sm.upf
S 32.06 S.upf
CELL_PARAMETERS angstrom
-4.210 4.570 2.776
-2.365 -6.189 -1.557
4.221 -1.988 6.736
ATOMIC_POSITIONS angstrom
Ti 2.110 -0.994 3.368
Rb -2.682 -4.341 -0.813
Sm -0.869 -3.598 3.255
Rb -3.893 2.722 2.031
S 1.199 -0.090 5.524
S -0.193 -1.010 2.426
S 1.755 -3.327 4.221
S -2.162 -2.597 5.529
Sm -1.485 -0.009 4.700
S -3.554 -3.517 2.431
S -4.109 -0.280 3.734

Record 7
! K3GaAg4 (PBE, relaxed); values from VASP
! Calculated formation energy: -0.01 eV/atom
! Magnetization: 0.0 μB per cell
! V: 239.15 Å³ per cell
! Space-group type: Imm2
&SYSTEM
  ibrav = 0, nat = 8, ntyp = 3
/
ATOMIC_SPECIES
Ag 107.87 Ag.upf
K 39.10 K.upf
Ga 69.72 Ga.upf
CELL_PARAMETERS angstrom
5.754 0.000 2.998
3.210 6.133 0.860
0.053 -0.873 6.920
ATOMIC_POSITIONS angstrom
Ag 4.279 0.087 5.828
Ag 6.750 3.971 5.082
K 6.532 3.339 8.526
K 0.249 -0.438 6.544
Ag 3.475 3.971 3.376
Ag 3.339 2.072 7.633
Ga 4.529 2.677 5.348
K 1.980 0.801 3.221

Record 8
! BaNpTaS6 (PBE, relaxed); values from VASP
! Magnetization: 2.0 μB per cell
! V: 257.27 Å³ per cell
! Raw formation energy: -11.21 eV/f.u.
! Space-group type: P312
&SYSTEM
  ibrav = 0, nat = 9, ntyp = 4
/
ATOMIC_SPECIES
S 32.06 S.upf
Np 237.00 Np.upf
Ba 137.33 Ba.upf
Ta 180.95 Ta.upf
CELL_PARAMETERS angstrom
-4.967 4.299 -0.322
-5.483 -1.550 -3.284
-2.680 -2.666 5.735
ATOMIC_POSITIONS angstrom
S -10.235 1.360 1.724
S -6.131 -0.056 -0.540
Np -4.823 -0.417 1.666
S -7.157 0.180 2.614
Ba -7.647 1.633 5.413
S -7.795 2.867 0.042
Ta -8.307 0.499 0.463
S -9.250 -1.755 0.736
S -9.273 0.399 -1.796

Record 9
! ReAgSnOs2 (PBE, relaxed); values from VASP
! Calculated formation energy: 2.90 eV/atom
! Magnetization: 3.5 μB per cell
! V: 108.67 Å³ per cell
! Space-group type: P4/mmm
&SYSTEM
  ibrav = 0, nat = 5, ntyp = 4
/
ATOMIC_SPECIES
Re 186.21 Re.upf
Ag 107.87 Ag.upf
Os 190.23 Os.upf
Sn 118.71 Sn.upf
CELL_PARAMETERS angstrom
4.806 0.000 0.000
0.000 4.706 0.000
0.000 0.000 4.806
ATOMIC_POSITIONS angstrom
Re 2.403 2.353 2.403
Ag 0.000 0.000 0.000
Os 2.403 0.000 0.000
Os 0.000 0.000 2.403
Sn 0.000 2.353 0.000

Record 10
! SrTcHg2 (PBE, relaxed); values from VASP
! Calculated formation energy: 0.44 eV/atom
! Magnetization: 1.5 μB per cell
! V: 95.51 Å³ per cell
! Space-group type: Imm2
&SYSTEM
  ibrav = 0, nat = 4, ntyp = 3
/
ATOMIC_SPECIES
Hg 200.59 Hg.upf
Tc 98.00 Tc.upf
Sr 87.62 Sr.upf
CELL_PARAMETERS angstrom
-5.364 0.271 -2.984
-0.113 -0.872 -6.081
1.440 -2.347 5.493
ATOMIC_POSITIONS angstrom
Hg -3.389 -1.195 -1.107
Hg -0.140 -0.015 -0.232
Tc -0.606 -1.749 -2.395
Sr -2.640 -0.290 -4.371

Record 11
! Pr2Nd3Y6Pu (PBE, relaxed); values from VASP
! Calculated formation energy: 0.04 eV/atom
! Magnetization: 6.4 μB per cell
! V: 396.94 Å³ per cell
! Space-group type: C2/m
&SYSTEM
  ibrav = 0, nat = 12, ntyp = 4
/
ATOMIC_SPECIES
Pu 244.00 Pu.upf
Nd 144.24 Nd.upf
Y 88.91 Y.upf
Pr 140.91 Pr.upf
CELL_PARAMETERS angstrom
-5.077 -2.083 -3.029
1.595 -2.486 5.529
-5.371 9.498 4.634
ATOMIC_POSITIONS angstrom
Pu 0.000 0.000 0.000
Nd -2.205 2.330 6.416
Y -7.760 3.768 3.961
Y -1.093 1.160 3.173
Y -4.898 6.016 4.101
Y -5.565 3.636 6.776
Y -3.955 -1.088 3.032
Nd -4.426 2.464 3.567
Nd -6.648 2.598 0.718
Pr -0.630 -2.352 2.676
Y -3.288 1.292 0.358
Pr -2.853 -2.218 -0.176

Record 12
! CdSb2AuI (PBE, relaxed); values from VASP
! Magnetization: 1.0 μB per cell
! V: 170.69 Å³ per cell
! Raw formation energy: 2.56 eV/f.u.
! Space-group type: P4/mmm
&SYSTEM
  ibrav = 0, nat = 5, ntyp = 4
/
ATOMIC_SPECIES
Sb 121.76 Sb.upf
Cd 112.41 Cd.upf
Au 196.97 Au.upf
I 126.90 I.upf
CELL_PARAMETERS angstrom
-4.783 -1.306 2.289
0.180 -4.894 -2.416
2.756 -2.139 4.539
ATOMIC_POSITIONS angstrom
Sb -2.391 -0.653 1.144
Sb 0.090 -2.447 -1.208
Cd -0.923 -4.169 2.206
Au 0.000 0.000 0.000
I 1.378 -1.070 2.269

Record 13
! NaLiGeBi (PBE, relaxed); values from VASP
! Calculated formation energy: -0.13 eV/atom
! Magnetization: 0.0 μB per cell
! V: 91.04 Å³ per cell
! Space-group type: F-43m
&SYSTEM
  ibrav = 0, nat = 4, ntyp = 4
/
ATOMIC_SPECIES
Na 22.99 Na.upf
Ge 72.64 Ge.upf
Li 6.94 Li.upf
Bi 208.98 Bi.upf
CELL_PARAMETERS angstrom
-4.232 2.162 1.706
-2.888 -2.413 3.366
-0.246 1.657 4.764
ATOMIC_POSITIONS angstrom
Na -5.525 1.055 7.377
Ge 0.000 0.000 0.000
Li -1.842 0.352 2.459
Bi -3.683 0.703 4.918

Record 14
! LiDyMg4 (PBE, relaxed); values from VASP
! Calculated formation energy: -0.01 eV/atom
! Magnetization: 0.0 μB per cell
! V: 286.04 Å³ per cell
! Space-group type: Cmcm
&SYSTEM
  ibrav = 0, nat = 12, ntyp = 3
/
ATOMIC_SPECIES
Li 6.94 Li.upf
Mg 24.30 Mg.upf
Dy 162.50 Dy.upf
CELL_PARAMETERS angstrom
-1.444 -2.651 -1.711
0.323 -4.907 7.332
-7.762 4.383 3.276
ATOMIC_POSITIONS angstrom
Li -4.921 -1.010 2.198
Mg -5.342 -0.309 4.986
Mg -1.096 -3.198 5.881
Mg -5.482 1.815 1.813
Mg -0.560 -3.779 2.810
Dy -1.634 -0.609 2.322
Mg -3.541 -2.866 3.910
Mg -0.722 -1.326 -0.856
Dy -7.249 -2.567 6.574
Mg -3.401 -4.990 7.083
Li -3.962 -2.165 6.698
Mg -7.787 0.023 3.016

Record 15
! Mg2TlMo (PBE, relaxed); values from VASP
! Calculated formation energy: 0.57 eV/atom
! Magnetization: 1.8 μB per cell
! V: 79.29 Å³ per cell
! Space-group type: Fm-3m
&SYSTEM
  ibrav = 0, nat = 4, ntyp = 3
/
ATOMIC_SPECIES
Mo 95.94 Mo.upf
Mg 24.30 Mg.upf
Tl 204.38 Tl.upf
CELL_PARAMETERS angstrom
2.803 -3.100 2.405
-0.590 -4.748 -0.598
3.334 -2.565 -2.358
ATOMIC_POSITIONS angstrom
Mo 0.000 0.000 0.000
Mg 4.160 -7.810 -0.413
Tl 2.774 -5.207 -0.276
Mg 1.387 -2.603 -0.138

Record 16
! Pm3Y7Ho (PBE, relaxed); values from VASP
! Calculated formation energy: 0.27 eV/atom
! Magnetization: 0.4 μB per cell
! V: 371.35 Å³ per cell
! Space-group type: Immm
&SYSTEM
  ibrav = 0, nat = 11, ntyp = 3
/
ATOMIC_SPECIES
Y 88.91 Y.upf
Pm 145.00 Pm.upf
Ho 164.93 Ho.upf
CELL_PARAMETERS angstrom
-2.870 1.414 -4.922
-4.901 1.431 6.767
4.344 6.684 2.885
ATOMIC_POSITIONS angstrom
Y -3.978 1.581 -0.729
Pm 2.383 5.570 3.708
Pm -1.435 0.707 -2.461
Y -0.278 3.683 -2.283
Y 0.550 7.947 5.459
Y -3.150 5.845 7.013
Y -0.705 1.958 0.971
Y -2.723 7.570 3.759
Y -0.279 4.057 4.826
Pm -2.941 2.545 5.944
Ho -1.714 4.764 2.365

Record 17
! CsRb3I4 (PBE, relaxed); values from VASP
! Magnetization: 0.0 μB per cell
! V: 432.55 Å³ per cell
! Raw formation energy: -12.07 eV/f.u.
! Space-group type: Cmmm
&SYSTEM
  ibrav = 0, nat = 8, ntyp = 3
/
ATOMIC_SPECIES
Rb 85.47 Rb.upf
Cs 132.91 Cs.upf
I 126.90 I.upf
CELL_PARAMETERS angstrom
-2.228 3.939 2.820
-7.922 -4.797 0.439
0.081 -5.368 7.559
ATOMIC_POSITIONS angstrom
Rb -2.148 -1.429 10.378
Rb -1.075 -0.715 5.189
Rb -6.149 -1.144 6.818
Cs -4.995 -5.797 9.187
I -7.068 -3.015 3.660
I -3.003 -3.212 7.156
I -8.184 -3.679 8.752
I -4.116 1.392 4.884

Record 18
! BeS2ClO (PBE, relaxed); values from VASP
! Magnetization: 0.0 μB per cell
! V: 77.33 Å³ per cell
! Raw formation energy: 3.98 eV/f.u.
! Space-group type: P4/mmm
&SYSTEM
  ibrav = 0, nat = 5, ntyp = 4
/
ATOMIC_SPECIES
Be 9.01 Be.upf
S 32.06 S.upf
O 16.00 O.upf
Cl 35.45 Cl.upf
CELL_PARAMETERS angstrom
-0.957 -3.820 -1.791
4.165 -1.148 0.224
-0.642 -1.599 3.755
ATOMIC_POSITIONS angstrom
Be 0.000 0.000 0.000
S 2.083 -0.574 0.112
O 1.283 -3.284 1.094
Cl -0.321 -0.800 1.877
S -0.478 -1.910 -0.895

Record 19
! Fe2P (PBE, relaxed); values from VASP
! Calculated formation energy: -0.18 eV/atom
! Magnetization: 6.4 μB per cell
! V: 65.68 Å³ per cell
! Space-group type: Cmcm
&SYSTEM
  ibrav = 0, nat = 6, ntyp = 2
/
ATOMIC_SPECIES
Fe 55.84 Fe.upf
P 30.97 P.upf
CELL_PARAMETERS angstrom
2.562 5.210 1.775
-3.246 -3.336 -3.898
-3.205 0.941 1.864
ATOMIC_POSITIONS angstrom
Fe -2.609 -0.985 -2.028
Fe -1.280 3.800 1.768
P -3.294 0.836 -0.199
P -0.595 1.979 -0.060
Fe 1.342 4.829 1.831
Fe -5.231 -2.014 -2.091

Record 20
! MnSi2PSe (PBE, relaxed); values from VASP
! Magnetization: 0.0 μB per cell
! V: 86.67 Å³ per cell
! Raw formation energy: 1.05 eV/f.u.
! Space-group type: P4/mmm
&SYSTEM
  ibrav = 0, nat = 5, ntyp = 4
/
ATOMIC_SPECIES
Si 28.09 Si.upf
Mn 54.94 Mn.upf
P 30.97 P.upf
Se 78.96 Se.upf
CELL_PARAMETERS angstrom
-2.044 3.897 -1.153
-3.086 -0.817 2.711
2.298 2.173 3.270
ATOMIC_POSITIONS angstrom
Si 1.149 1.086 1.635
Mn 0.000 0.000 0.000
Si -1.022 1.948 -0.576
P -1.543 -0.408 1.356
Se -1.416 2.627 2.414

Record 21
! Pu4Ir (PBE, relaxed); values from VASP
! Calculated formation energy: 0.20 eV/atom
! Magnetization: 23.0 μB per cell
! V: 157.52 Å³ per cell
! Space-group type: Pm-3m
&SYSTEM
  ibrav = 0, nat = 5, ntyp = 2
/
ATOMIC_SPECIES
Pu 244.00 Pu.upf
Ir 192.22 Ir.upf
CELL_PARAMETERS angstrom
-4.249 0.369 -3.314
3.134 -1.391 -4.173
-1.139 -5.205 0.880
ATOMIC_POSITIONS angstrom
Pu -0.557 -0.511 -3.743
Pu 0.000 0.000 0.000
Pu 0.998 -3.298 -1.646
Pu -2.694 -2.418 -1.217
Ir -1.127 -3.114 -3.303

Record 22
! Zr3PdN (PBE, relaxed); values from VASP
! Magnetization: 0.0 μB per cell
! V: 88.43 Å³ per cell
! Raw formation energy: -4.56 eV/f.u.
! Space-group type: Pm-3m
&SYSTEM
  ibrav = 0, nat = 5, ntyp = 3
/
ATOMIC_SPECIES
Zr 91.22 Zr.upf
Pd 106.42 Pd.upf
N 14.01 N.upf
CELL_PARAMETERS angstrom
4.455 0.000 0.000
0.000 4.455 0.000
0.000 0.000 4.455
ATOMIC_POSITIONS angstrom
Zr 0.000 2.228 0.000
Zr 2.228 0.000 0.000
Zr 0.000 0.000 2.228
Pd 2.228 2.228 2.228
N 0.000 0.000 0.000

Record 23
! AcCd4Hg12 (PBE, relaxed); values from VASP
! Calculated formation energy: 0.00 eV/atom
! Magnetization: 0.0 μB per cell
! V: 501.64 Å³ per cell
! Space-group type: Im-3
&SYSTEM
  ibrav = 0, nat = 17, ntyp = 3
/
ATOMIC_SPECIES
Hg 200.59 Hg.upf
Ac 227.00 Ac.upf
Cd 112.41 Cd.upf
CELL_PARAMETERS angstrom
-1.172 8.269 -2.327
-7.498 -4.294 -0.713
2.748 -0.328 8.216
ATOMIC_POSITIONS angstrom
Hg -1.434 -0.448 3.503
Ac 0.000 0.000 0.000
Cd 1.374 -0.164 4.108
Hg -2.851 -1.826 5.741
Hg -5.193 0.273 3.559
Hg -5.663 -2.096 1.802
Hg -3.072 5.473 -0.565
Cd -2.961 1.823 2.588
Hg -4.489 4.094 1.673
Hg -0.259 5.742 3.373
Cd -0.586 4.134 -1.164
Cd -3.749 -2.147 -0.357
Hg -6.331 1.897 -0.864
Hg -0.729 3.374 1.617
Hg 0.408 1.750 6.040
Hg -2.178 2.936 5.133
Hg -3.744 0.711 0.043

Record 24
! Y2InSe (PBE, relaxed); values from VASP
! Magnetization: 0.0 μB per cell
! V: 110.27 Å³ per cell
! Raw formation energy: -3.76 eV/f.u.
! Space-group type: Imm2
&SYSTEM
  ibrav = 0, nat = 4, ntyp = 3
/
ATOMIC_SPECIES
Y 88.91 Y.upf
In 114.82 In.upf
Se 78.96 Se.upf
CELL_PARAMETERS angstrom
-0.938 -1.459 -8.174
0.126 -6.036 -5.777
-2.186 3.398 7.314
ATOMIC_POSITIONS angstrom
Y -1.794 -1.170 -4.414
Y -0.051 -0.473 -0.881
In -0.362 -3.342 -6.221
Se -1.197 -2.858 -2.097

Record 25
! TaRe2As (PBE, relaxed); values from VASP
! Calculated formation energy: 0.31 eV/atom
! Magnetization: 0.0 μB per cell
! V: 65.25 Å³ per cell
! Space-group type: Cmmm
&SYSTEM
  ibrav = 0, nat = 4, ntyp = 3
/
ATOMIC_SPECIES
As 74.92 As.upf
Ta 180.95 Ta.upf
Re 186.21 Re.upf
CELL_PARAMETERS angstrom
2.838 -0.014 0.000
-1.098 2.617 0.000
0.000 0.000 8.802
ATOMIC_POSITIONS angstrom
As 0.870 1.302 6.602
Ta 0.870 1.302 2.201
Re 0.000 0.000 0.024
Re 0.000 0.000 4.377